This record from OQMD via LeMat-Bulk describes a geometry-optimized Mg2Fe structure. The functional is GGA-PBE.

Unit cell a=9.524 b=4.835 c=4.457 alpha=90.00 beta=90.00 gamma=90.00
Atoms (fractional coordinates):
Mg 0.153 0.196 0.250
Mg 0.153 0.804 0.750
Mg 0.347 0.304 0.750
Mg 0.347 0.696 0.250
Mg 0.653 0.304 0.750
Mg 0.653 0.696 0.250
Mg 0.847 0.196 0.250
Mg 0.847 0.804 0.750
Fe 0.000 0.353 0.750
Fe 0.000 0.647 0.250
Fe 0.500 0.147 0.250
Fe 0.500 0.853 0.750


This record from OQMD via LeMat-Bulk describes a geometry-optimized Mg4Fe3 structure. The functional is GGA-PBE.

Unit cell a=7.741 b=4.462 c=7.752 alpha=90.00 beta=119.76 gamma=90.00
Atoms (fractional coordinates):
Mg 0.000 0.000 0.000
Mg 0.014 0.500 0.248
Mg 0.261 0.000 0.480
Mg 0.434 0.500 0.349
Mg 0.679 0.000 0.582
Mg 0.697 0.500 0.830
Mg 0.780 0.000 0.263
Mg 0.916 0.500 0.570
Fe 0.156 0.000 0.760
Fe 0.193 0.500 0.954
Fe 0.311 0.500 0.719
Fe 0.386 0.000 0.111
Fe 0.505 0.000 0.877
Fe 0.541 0.500 0.070


This record from OQMD via LeMat-Bulk describes a geometry-optimized MgFeSbMo structure. The functional is GGA-PBE.

Unit cell a=6.363 b=6.363 c=6.363 alpha=90.00 beta=90.00 gamma=90.00
Atoms (fractional coordinates):
Mg 0.000 0.000 0.000
Mg 0.000 0.500 0.500
Mg 0.500 0.000 0.500
Mg 0.500 0.500 0.000
Fe 0.250 0.250 0.750
Fe 0.250 0.750 0.250
Fe 0.750 0.250 0.250
Fe 0.750 0.750 0.750
Sb 0.000 0.000 0.500
Sb 0.000 0.500 0.000
Sb 0.500 0.000 0.000
Sb 0.500 0.500 0.500
Mo 0.250 0.250 0.250
Mo 0.250 0.750 0.750
Mo 0.750 0.250 0.750
Mo 0.750 0.750 0.250


This record from OQMD via LeMat-Bulk describes a geometry-optimized MgFeSiMo structure. The functional is GGA-PBE.

Unit cell a=6.044 b=6.044 c=6.044 alpha=90.00 beta=90.00 gamma=90.00
Atoms (fractional coordinates):
Mg 0.000 0.000 0.000
Mg 0.000 0.500 0.500
Mg 0.500 0.000 0.500
Mg 0.500 0.500 0.000
Fe 0.250 0.250 0.250
Fe 0.250 0.750 0.750
Fe 0.750 0.250 0.750
Fe 0.750 0.750 0.250
Si 0.000 0.000 0.500
Si 0.000 0.500 0.000
Si 0.500 0.000 0.000
Si 0.500 0.500 0.500
Mo 0.250 0.250 0.750
Mo 0.250 0.750 0.250
Mo 0.750 0.250 0.250
Mo 0.750 0.750 0.750


This record from OQMD via LeMat-Bulk describes a geometry-optimized MgTlFeMo structure. The functional is GGA-PBE.

Unit cell a=6.358 b=6.358 c=6.358 alpha=90.00 beta=90.00 gamma=90.00
Atoms (fractional coordinates):
Mg 0.000 0.000 0.000
Mg 0.000 0.500 0.500
Mg 0.500 0.000 0.500
Mg 0.500 0.500 0.000
Tl 0.250 0.250 0.250
Tl 0.250 0.750 0.750
Tl 0.750 0.250 0.750
Tl 0.750 0.750 0.250
Fe 0.000 0.000 0.500
Fe 0.000 0.500 0.000
Fe 0.500 0.000 0.000
Fe 0.500 0.500 0.500
Mo 0.250 0.250 0.750
Mo 0.250 0.750 0.250
Mo 0.750 0.250 0.250
Mo 0.750 0.750 0.750


This record from OQMD via LeMat-Bulk describes a geometry-optimized MgZnFeMo structure. The functional is GGA-PBE.

Unit cell a=6.081 b=6.081 c=6.081 alpha=90.00 beta=90.00 gamma=90.00
Atoms (fractional coordinates):
Mg 0.000 0.000 0.000
Mg 0.000 0.500 0.500
Mg 0.500 0.000 0.500
Mg 0.500 0.500 0.000
Zn 0.250 0.250 0.250
Zn 0.250 0.750 0.750
Zn 0.750 0.250 0.750
Zn 0.750 0.750 0.250
Fe 0.250 0.250 0.750
Fe 0.250 0.750 0.250
Fe 0.750 0.250 0.250
Fe 0.750 0.750 0.750
Mo 0.000 0.000 0.500
Mo 0.000 0.500 0.000
Mo 0.500 0.000 0.000
Mo 0.500 0.500 0.500


This record from OQMD via LeMat-Bulk describes a geometry-optimized MgFeW2N4 structure. The functional is GGA-PBE.

Unit cell a=2.889 b=2.889 c=10.920 alpha=90.00 beta=90.00 gamma=120.00
Atoms (fractional coordinates):
Mg 0.000 0.000 0.000
Fe 0.000 0.000 0.500
W 0.000 0.000 0.251
W 0.000 0.000 0.749
N 0.333 0.667 0.630
N 0.333 0.667 0.871
N 0.667 0.333 0.129
N 0.667 0.333 0.370


This record from OQMD via LeMat-Bulk describes a geometry-optimized NaMgFeS3 structure. The functional is GGA-PBE.

Unit cell a=7.768 b=3.608 c=9.192 alpha=90.00 beta=105.02 gamma=90.00
Atoms (fractional coordinates):
Na 0.194 0.250 0.195
Na 0.806 0.750 0.805
Mg 0.358 0.750 0.883
Mg 0.642 0.250 0.117
Fe 0.069 0.250 0.596
Fe 0.931 0.750 0.404
S 0.100 0.250 0.834
S 0.195 0.750 0.539
S 0.442 0.750 0.163
S 0.558 0.250 0.837
S 0.805 0.250 0.461
S 0.900 0.750 0.166


Number 1: E_tot -3.57 eV/atom, volume 17.10 Å³/atom. Number 2: E_tot -4.27 eV/atom, volume 16.60 Å³/atom. Number 3: E_tot -5.84 eV/atom, volume 16.10 Å³/atom. Number 4: E_tot -6.35 eV/atom, volume 13.80 Å³/atom. Number 5: E_tot -5.18 eV/atom, volume 16.07 Å³/atom. Number 6: E_tot -5.32 eV/atom, volume 14.06 Å³/atom. Number 7: E_tot -9.15 eV/atom, volume 9.87 Å³/atom. Number 8: E_tot -4.76 eV/atom, volume 20.73 Å³/atom.